# Dy2Ga

A relaxed structure of Dy2Ga (PBE, the Open Quantum Materials Database).

For the energy, the calculation gives -2.8463 eV per atom. The space-group type is Fd-3m.

Unit cell a=8.816 b=8.816 c=8.816 alpha=60.00 beta=60.00 gamma=60.00
Atoms (fractional coordinates):
Dy  0.000  0.000  0.000
Dy  0.000  0.000  0.500
Dy  0.000  0.500  0.000
Dy  0.500  0.000  0.000
Ga  0.125  0.125  0.125
Ga  0.875  0.875  0.875